[1]
Computed, not measured: a geometry-optimized Ac2Ge4PdAu3 structure at the GGA-PBE level of DFT.

Output
ΔE_f: -15.12 kcal/mol of atoms
Total energy: -0.35476 Ry per atom

Lattice parameters (Å, degrees): 4.5688 4.5688 10.5947 90.00 90.00 90.00
Fractional positions:
Ac 0.0000 0.5000 0.2449
Ac 0.5000 0.0000 0.7551
Ge 0.0000 0.0000 0.5000
Ge 0.0000 0.5000 0.8753
Ge 0.5000 0.0000 0.1247
Ge 0.5000 0.5000 0.5000
Pd 0.5000 0.5000 0.0000
Au 0.0000 0.0000 0.0000
Au 0.0000 0.5000 0.6308
Au 0.5000 0.0000 0.3692

=====

[2]
Computed, not measured: a geometry-optimized AcGe2PdAu structure at the GGA-PBE level of DFT.

Output
ΔE_f: -16.37 kcal/mol of atoms
Total energy: -0.37283 Ry per atom

Lattice parameters (Å, degrees): 6.1098 6.1098 6.1098 136.22 136.22 63.65
Fractional positions:
Ac 0.0000 0.0000 0.0000
Ge 0.3770 0.3770 0.0000
Ge 0.6230 0.6230 0.0000
Pd 0.2500 0.7500 0.5000
Au 0.7500 0.2500 0.5000

=====

[3]
Computed, not measured: a geometry-optimized Ac2GePdAu6 structure at the GGA-PBE level of DFT.

Output
ΔE_f: -12.01 kcal/mol of atoms
Total energy: -0.31531 Ry per atom

Lattice parameters (Å, degrees): 6.9019 6.9019 9.1957 127.61 127.61 47.22
Fractional positions:
Ac 0.2297 0.2297 0.2016
Ac 0.7703 0.7703 0.7984
Ge 0.0000 0.0000 0.5000
Pd 0.5000 0.5000 0.0000
Au 0.2304 0.7308 0.2390
Au 0.2559 0.2559 0.5962
Au 0.2692 0.7696 0.7610
Au 0.7308 0.2304 0.2390
Au 0.7441 0.7441 0.4038
Au 0.7696 0.2692 0.7610

=====

[4]
Computed, not measured: a geometry-optimized Ac3Ge6PdAu2 structure at the GGA-PBE level of DFT.

Output
ΔE_f: -10.82 kcal/mol of atoms
Total energy: -0.35162 Ry per atom

Lattice parameters (Å, degrees): 6.2807 6.2807 8.6326 90.00 90.00 120.00
Fractional positions:
Ac 0.0000 0.0000 0.0000
Ac 0.3333 0.6667 0.6540
Ac 0.6667 0.3333 0.3460
Ge 0.1927 0.3855 0.3047
Ge 0.1927 0.8073 0.3047
Ge 0.3855 0.1927 0.6953
Ge 0.6145 0.8073 0.3047
Ge 0.8073 0.1927 0.6953
Ge 0.8073 0.6145 0.6953
Pd 0.0000 0.0000 0.5000
Au 0.3333 0.6667 0.0214
Au 0.6667 0.3333 0.9786

=====

[5]
Computed, not measured: a geometry-optimized Ac2GePd6Au structure at the GGA-PBE level of DFT.

Output
ΔE_f: -13.81 kcal/mol of atoms
Total energy: -0.39145 Ry per atom

Lattice parameters (Å, degrees): 5.7791 5.7832 8.5121 70.27 70.32 60.13
Fractional positions:
Ac 0.2145 0.2165 0.3581
Ac 0.7855 0.7835 0.6419
Ge 0.0000 0.0000 0.0000
Pd 0.2430 0.7240 0.7850
Pd 0.2441 0.2413 0.7796
Pd 0.2731 0.7597 0.2165
Pd 0.7269 0.2403 0.7835
Pd 0.7559 0.7587 0.2204
Pd 0.7570 0.2760 0.2150
Au 0.5000 0.5000 0.5000

=====

[6]
Computed, not measured: a geometry-optimized Ac3GePd9Au2 structure at the GGA-PBE level of DFT.

Output
ΔE_f: -9.08 kcal/mol of atoms
Total energy: -0.37309 Ry per atom

Lattice parameters (Å, degrees): 7.9245 7.9245 6.4879 90.00 90.00 120.00
Fractional positions:
Ac 0.0000 0.0000 0.0000
Ac 0.3333 0.6667 0.6835
Ac 0.6667 0.3333 0.3165
Ge 0.0000 0.0000 0.5000
Pd 0.0000 0.5000 0.0000
Pd 0.1552 0.3105 0.3336
Pd 0.1552 0.8448 0.3336
Pd 0.3105 0.1552 0.6664
Pd 0.5000 0.0000 0.0000
Pd 0.5000 0.5000 0.0000
Pd 0.6895 0.8448 0.3336
Pd 0.8448 0.1552 0.6664
Pd 0.8448 0.6895 0.6664
Au 0.3333 0.6667 0.1983
Au 0.6667 0.3333 0.8017

=====

[7]
Computed, not measured: a geometry-optimized Ac3Ge2Pd9Au structure at the GGA-PBE level of DFT.

Output
ΔE_f: -13.96 kcal/mol of atoms
Total energy: -0.39518 Ry per atom

Lattice parameters (Å, degrees): 5.9129 5.9129 11.2256 90.00 90.00 120.00
Fractional positions:
Ac 0.0000 0.0000 0.0000
Ac 0.3333 0.6667 0.6096
Ac 0.6667 0.3333 0.3904
Ge 0.3333 0.6667 0.1599
Ge 0.6667 0.3333 0.8401
Pd 0.0000 0.5000 0.0000
Pd 0.1607 0.3215 0.3064
Pd 0.1607 0.8393 0.3064
Pd 0.3215 0.1607 0.6936
Pd 0.5000 0.0000 0.0000
Pd 0.5000 0.5000 0.0000
Pd 0.6785 0.8393 0.3064
Pd 0.8393 0.1607 0.6936
Pd 0.8393 0.6785 0.6936
Au 0.0000 0.0000 0.5000

=====

[8]
Computed, not measured: a geometry-optimized AcGe4Pd2Au structure at the GGA-PBE level of DFT.

Output
ΔE_f: -8.77 kcal/mol of atoms
Total energy: -0.36091 Ry per atom

Lattice parameters (Å, degrees): 9.7553 9.7553 9.7553 26.54 26.54 26.54
Fractional positions:
Ac 0.0000 0.0000 0.0000
Ge 0.1255 0.1255 0.1255
Ge 0.4037 0.4037 0.4037
Ge 0.5963 0.5963 0.5963
Ge 0.8745 0.8745 0.8745
Pd 0.2473 0.2473 0.2473
Pd 0.7527 0.7527 0.7527
Au 0.5000 0.5000 0.5000

=====

[9]
Computed, not measured: a geometry-optimized Ac2Ge4Pd3Au structure at the GGA-PBE level of DFT.

Output
ΔE_f: -17.90 kcal/mol of atoms
Total energy: -0.39178 Ry per atom

Lattice parameters (Å, degrees): 4.5125 4.5125 10.3590 90.00 90.00 90.00
Fractional positions:
Ac 0.0000 0.5000 0.2483
Ac 0.5000 0.0000 0.7517
Ge 0.0000 0.0000 0.0000
Ge 0.0000 0.5000 0.6341
Ge 0.5000 0.0000 0.3659
Ge 0.5000 0.5000 0.0000
Pd 0.0000 0.5000 0.8784
Pd 0.5000 0.0000 0.1216
Pd 0.5000 0.5000 0.5000
Au 0.0000 0.0000 0.5000

=====

[10]
Computed, not measured: a geometry-optimized AcPmGe2Au2 structure at the GGA-PBE level of DFT.

Output
ΔE_f: -19.16 kcal/mol of atoms
Total energy: -0.36302 Ry per atom

Lattice parameters (Å, degrees): 4.5339 4.5339 8.2293 90.00 90.00 120.00
Fractional positions:
Ac 0.0000 0.0000 0.0000
Pm 0.0000 0.0000 0.5000
Ge 0.3333 0.6667 0.7402
Ge 0.6667 0.3333 0.2598
Au 0.3333 0.6667 0.2756
Au 0.6667 0.3333 0.7244

=====

[11]
Computed, not measured: a geometry-optimized Ac2PmGe4Au3 structure at the GGA-PBE level of DFT.

Output
ΔE_f: -15.11 kcal/mol of atoms
Total energy: -0.35147 Ry per atom

Lattice parameters (Å, degrees): 4.6131 4.6131 11.4092 90.00 90.00 90.00
Fractional positions:
Ac 0.0000 0.5000 0.2280
Ac 0.5000 0.0000 0.7720
Pm 0.0000 0.0000 0.5000
Ge 0.0000 0.0000 0.0000
Ge 0.0000 0.5000 0.6549
Ge 0.5000 0.0000 0.3451
Ge 0.5000 0.5000 0.0000
Au 0.0000 0.5000 0.8830
Au 0.5000 0.0000 0.1170
Au 0.5000 0.5000 0.5000

=====

[12]
Computed, not measured: a geometry-optimized AcPmGeAu structure at the GGA-PBE level of DFT.

Output
ΔE_f: -15.52 kcal/mol of atoms
Total energy: -0.35732 Ry per atom

Lattice parameters (Å, degrees): 5.3846 5.3846 5.3846 60.00 60.00 60.00
Fractional positions:
Ac 0.0000 0.0000 0.0000
Pm 0.5000 0.5000 0.5000
Ge 0.2500 0.2500 0.2500
Au 0.7500 0.7500 0.7500